# AcDy6Ho

AcDy6Ho after structural relaxation (PBE, Alexandria via LeMat-Bulk).

## Properties
electronic total energy = -4.3188 eV per atom
size of the total moment = 0.00 μB per atom
DOS(E_F) = 13.0 states/eV/cell
formation energy = 0.219 eV/atom

Cell lengths 6.726, 6.770, 6.817 Å; angles 60.56, 82.85, 83.97 degrees
Space group P-1 (No. 2)
Inequivalent atoms, fractional coordinates:
Ac 0.000 0.000 0.000 [1 per cell]
Dy 0.260 0.951 0.480 [2 per cell]
Dy 0.262 0.478 0.958 [2 per cell]
Dy 0.278 0.451 0.456 [2 per cell]
Ho 0.500 0.000 0.000 [1 per cell]